VASP calculation (PBE-GGA) on a geometry-optimized Sm4SiCCl2 structure.

* DOS(E_F): 3.4 states/eV/f.u.
* spin magnetization: 0.0 μB per cell
* space group: P2/m, No. 10
* formation energy from raw total energies: -1.06 eV per atom

Structure (POSCAR):
```
Sm4SiCCl2
1.0
3.9417 0.0000 0.0000
0.0000 6.9485 0.1239
0.0000 -2.4364 6.9522
Sm Si Cl C
4 1 2 1
Direct
0.5000 0.2651 0.2080
0.0000 0.2889 0.8033
0.5000 0.7349 0.7920
0.0000 0.7111 0.1967
0.0000 0.0000 0.0000
0.0000 0.5000 0.5000
0.5000 0.0000 0.5000
0.5000 0.5000 0.0000
```